Model i:
## ZrCu2Br6 (PBE-GGA)

Data for a geometry-optimized ZrCu2Br6 structure.

abc: 9.309 9.309 6.972
angles: 96.18 96.18 79.43
Atoms (fractional coordinates):
Zr (0.102, 0.898, 0.750)
Zr (0.898, 0.102, 0.250)
Cu (0.348, 0.460, 0.703)
Cu (0.460, 0.348, 0.203)
Cu (0.540, 0.652, 0.797)
Cu (0.652, 0.540, 0.297)
Br (0.037, 0.173, 0.597)
Br (0.132, 0.639, 0.851)
Br (0.173, 0.037, 0.097)
Br (0.276, 0.484, 0.377)
Br (0.361, 0.868, 0.649)
Br (0.484, 0.276, 0.877)
Br (0.516, 0.724, 0.123)
Br (0.639, 0.132, 0.351)
Br (0.724, 0.516, 0.623)
Br (0.827, 0.963, 0.903)
Br (0.868, 0.361, 0.149)
Br (0.963, 0.827, 0.403)

Computed properties:
M_tot = 0.00 μB per cell

---

Model ii:
## ZrCu2Br6 (PBE-GGA)

Data for a geometry-optimized ZrCu2Br6 structure.

abc: 10.115 10.115 6.533
angles: 93.13 93.13 90.44
Atoms (fractional coordinates):
Zr (0.092, 0.908, 0.750)
Zr (0.908, 0.092, 0.250)
Cu (0.420, 0.437, 0.114)
Cu (0.437, 0.420, 0.614)
Cu (0.563, 0.580, 0.386)
Cu (0.580, 0.563, 0.886)
Br (0.047, 0.165, 0.597)
Br (0.089, 0.680, 0.880)
Br (0.165, 0.047, 0.097)
Br (0.278, 0.487, 0.377)
Br (0.320, 0.911, 0.620)
Br (0.487, 0.278, 0.877)
Br (0.513, 0.722, 0.123)
Br (0.680, 0.089, 0.380)
Br (0.722, 0.513, 0.623)
Br (0.835, 0.953, 0.903)
Br (0.911, 0.320, 0.120)
Br (0.953, 0.835, 0.403)

Computed properties:
M_tot = 0.00 μB per cell

---

Which structure is most stable? model ii, by 29 meV per atom over the runner-up.

---

Model i:
## DyErBr (PBE-GGA)

Data for a geometry-optimized DyErBr structure.

abc: 3.699 3.699 7.241
angles: 90.00 90.00 120.00
Atoms (fractional coordinates):
Dy (0.000, 0.000, 0.000)
Er (0.667, 0.333, 0.362)
Br (0.333, 0.667, 0.679)

Computed properties:
M_tot = 0.22 μB per cell

---

Model ii:
## DyErBr (PBE-GGA)

Data for a geometry-optimized DyErBr structure.

abc: 5.850 5.919 6.300
angles: 62.08 63.06 89.92
Atoms (fractional coordinates):
Dy (0.188, 0.437, 0.128)
Dy (0.812, 0.563, 0.872)
Er (0.439, 0.186, 0.628)
Er (0.561, 0.814, 0.372)
Br (0.123, 0.876, 0.248)
Br (0.877, 0.124, 0.752)

Computed properties:
M_tot = 0.00 μB per cell

---

Which structure is most stable? model i, by 132 meV per atom over the runner-up.

---

Model i:
## DyBr2F (PBE-GGA)

Data for a geometry-optimized DyBr2F structure.

abc: 7.912 7.912 7.912
angles: 149.78 148.00 44.59
Atoms (fractional coordinates):
Dy (0.000, 0.000, 0.000)
Br (0.132, 0.632, 0.500)
Br (0.868, 0.368, 0.500)
F (0.500, 0.000, 0.500)

Computed properties:
M_tot = 0.00 μB per cell

---

Model ii:
## DyBr2F (PBE-GGA)

Data for a geometry-optimized DyBr2F structure.

abc: 3.769 8.575 7.495
angles: 90.00 103.41 90.00
Atoms (fractional coordinates):
Dy (0.247, 0.250, 0.494)
Dy (0.753, 0.750, 0.506)
Br (0.152, 0.550, 0.287)
Br (0.152, 0.950, 0.287)
Br (0.848, 0.050, 0.713)
Br (0.848, 0.450, 0.713)
F (0.322, 0.750, 0.656)
F (0.678, 0.250, 0.344)

Computed properties:
M_tot = 0.00 μB per cell

---

Which structure is most stable? model i, by 35 meV per atom over the runner-up.

---

Model i:
## DyBrF2 (PBE-GGA)

Data for a geometry-optimized DyBrF2 structure.

abc: 5.643 5.643 6.999
angles: 90.00 90.00 140.94
Atoms (fractional coordinates):
Dy (0.243, 0.757, 0.750)
Dy (0.757, 0.243, 0.250)
Br (0.043, 0.957, 0.250)
Br (0.957, 0.043, 0.750)
F (0.311, 0.689, 0.071)
F (0.311, 0.689, 0.429)
F (0.689, 0.311, 0.571)
F (0.689, 0.311, 0.929)

Computed properties:
M_tot = 0.00 μB per cell

---

Model ii:
## DyBrF2 (PBE-GGA)

Data for a geometry-optimized DyBrF2 structure.

abc: 5.720 5.720 5.720
angles: 40.02 40.02 40.02
Atoms (fractional coordinates):
Dy (0.000, 0.000, 0.000)
Br (0.500, 0.500, 0.500)
F (0.302, 0.302, 0.302)
F (0.698, 0.698, 0.698)

Computed properties:
M_tot = 0.00 μB per cell

---

Which structure is most stable? model i, by 153 meV per atom over the runner-up.

---

Model i:
## DyIBr2 (PBE-GGA)

Data for a geometry-optimized DyIBr2 structure.

abc: 7.392 7.392 7.476
angles: 105.47 105.47 112.15
Atoms (fractional coordinates):
Dy (0.090, 0.910, 0.500)
Dy (0.910, 0.090, 0.000)
I (0.144, 0.324, 0.787)
I (0.324, 0.144, 0.287)
Br (0.491, 0.990, 0.761)
Br (0.724, 0.859, 0.207)
Br (0.859, 0.724, 0.707)
Br (0.990, 0.491, 0.261)

Computed properties:
M_tot = 0.00 μB per cell

---

Model ii:
## DyIBr2 (PBE-GGA)

Data for a geometry-optimized DyIBr2 structure.

abc: 7.474 7.474 7.474
angles: 150.28 70.84 117.37
Atoms (fractional coordinates):
Dy (0.000, 0.000, 0.000)
I (0.696, 0.196, 0.500)
Br (0.281, 0.632, 0.650)
Br (0.982, 0.632, 0.350)

Computed properties:
M_tot = 0.00 μB per cell

---

Which structure is most stable? model i, by 20 meV per atom over the runner-up.

---

Model i:
## DyI2Br (PBE-GGA)

Data for a geometry-optimized DyI2Br structure.

abc: 4.348 5.597 8.720
angles: 91.14 104.36 90.00
Atoms (fractional coordinates):
Dy (0.000, 0.000, 0.000)
I (0.374, 0.992, 0.747)
I (0.625, 0.008, 0.252)
Br (0.999, 0.500, 0.000)

Computed properties:
M_tot = 0.00 μB per cell

---

Model ii:
## DyI2Br (PBE-GGA)

Data for a geometry-optimized DyI2Br structure.

abc: 7.694 7.694 7.694
angles: 150.58 68.60 119.59
Atoms (fractional coordinates):
Dy (0.000, 0.000, 0.000)
I (0.004, 0.345, 0.659)
I (0.687, 0.345, 0.341)
Br (0.266, 0.766, 0.500)

Computed properties:
M_tot = 0.00 μB per cell

---

Which structure is most stable? model i, by 17 meV per atom over the runner-up.

---

Model i:
## DyIBr (PBE-GGA)

Data for a geometry-optimized DyIBr structure.

abc: 4.011 6.915 8.743
angles: 110.76 102.83 90.00
Atoms (fractional coordinates):
Dy (0.249, 0.260, 0.498)
Dy (0.751, 0.740, 0.502)
I (0.377, 0.702, 0.762)
I (0.623, 0.298, 0.238)
Br (0.147, 0.823, 0.287)
Br (0.853, 0.177, 0.713)

Computed properties:
M_tot = 0.00 μB per cell

---

Model ii:
## DyIBr (PBE-GGA)

Data for a geometry-optimized DyIBr structure.

abc: 4.006 4.006 7.797
angles: 90.00 90.00 120.00
Atoms (fractional coordinates):
Dy (0.000, 0.000, 0.000)
I (0.333, 0.667, 0.743)
Br (0.667, 0.333, 0.227)

Computed properties:
M_tot = 0.00 μB per cell

---

Model iii:
## DyIBr (PBE-GGA)

Data for a geometry-optimized DyIBr structure.

abc: 5.152 5.153 8.211
angles: 90.00 106.50 90.00
Atoms (fractional coordinates):
Dy (0.250, 0.250, 0.000)
Dy (0.750, 0.750, 0.000)
I (0.138, 0.750, 0.753)
I (0.862, 0.250, 0.247)
Br (0.343, 0.750, 0.205)
Br (0.657, 0.250, 0.795)

Computed properties:
M_tot = 0.00 μB per cell

---

Which structure is most stable? model i, by 11 meV per atom over the runner-up.

---

Model i:
## Dy2I2Br (PBE-GGA)

Data for a geometry-optimized Dy2I2Br structure.

abc: 11.527 11.527 8.730
angles: 99.62 99.62 20.07
Atoms (fractional coordinates):
Dy (0.186, 0.186, 0.420)
Dy (0.312, 0.312, 0.205)
Dy (0.688, 0.688, 0.795)
Dy (0.814, 0.814, 0.580)
I (0.091, 0.091, 0.665)
I (0.409, 0.409, 0.728)
I (0.591, 0.591, 0.272)
I (0.909, 0.909, 0.335)
Br (0.190, 0.190, 0.051)
Br (0.810, 0.810, 0.949)

Computed properties:
M_tot = 0.45 μB per cell

---

Model ii:
## Dy2I2Br (PBE-GGA)

Data for a geometry-optimized Dy2I2Br structure.

abc: 7.492 7.492 8.536
angles: 113.57 113.57 47.00
Atoms (fractional coordinates):
Dy (0.004, 0.004, 0.214)
Dy (0.363, 0.363, 0.940)
Dy (0.637, 0.637, 0.060)
Dy (0.996, 0.996, 0.786)
I (0.206, 0.206, 0.130)
I (0.461, 0.461, 0.681)
I (0.539, 0.539, 0.319)
I (0.794, 0.794, 0.870)
Br (0.146, 0.146, 0.619)
Br (0.854, 0.854, 0.381)

Computed properties:
M_tot = 0.00 μB per cell

---

Which structure is most stable? model i, by 56 meV per atom over the runner-up.

---

Model i:
## KDyBr4 (PBE-GGA)

Data for a geometry-optimized KDyBr4 structure.

abc: 7.431 7.431 4.345
angles: 90.00 90.00 92.77
Atoms (fractional coordinates):
K (0.000, 0.000, 0.000)
Dy (0.500, 0.500, 0.500)
Br (0.232, 0.232, 0.500)
Br (0.325, 0.675, 0.000)
Br (0.675, 0.325, 0.000)
Br (0.768, 0.768, 0.500)

Computed properties:
M_tot = 0.00 μB per cell

---

Model ii:
## KDyBr4 (PBE-GGA)

Data for a geometry-optimized KDyBr4 structure.

abc: 7.191 7.191 8.379
angles: 102.34 102.34 34.67
Atoms (fractional coordinates):
K (0.000, 0.000, 0.000)
Dy (0.500, 0.500, 0.500)
Br (0.117, 0.117, 0.411)
Br (0.384, 0.384, 0.185)
Br (0.616, 0.616, 0.815)
Br (0.883, 0.883, 0.589)

Computed properties:
M_tot = 0.00 μB per cell

---

Which structure is most stable? model ii, by 10 meV per atom over the runner-up.

---

Model i:
## LaDyBr6 (PBE-GGA)

Data for a geometry-optimized LaDyBr6 structure.

abc: 7.799 7.799 7.799
angles: 54.93 54.93 54.93
Atoms (fractional coordinates):
La (0.000, 0.000, 0.000)
Dy (0.500, 0.500, 0.500)
Br (0.099, 0.741, 0.417)
Br (0.259, 0.583, 0.901)
Br (0.417, 0.099, 0.741)
Br (0.583, 0.901, 0.259)
Br (0.741, 0.417, 0.099)
Br (0.901, 0.259, 0.583)

Computed properties:
M_tot = 0.00 μB per cell

---

Model ii:
## LaDyBr6 (PBE-GGA)

Data for a geometry-optimized LaDyBr6 structure.

abc: 7.498 7.498 7.166
angles: 97.73 97.73 122.82
Atoms (fractional coordinates):
La (0.000, 0.000, 0.000)
Dy (0.500, 0.500, 0.500)
Br (0.117, 0.411, 0.260)
Br (0.253, 0.253, 0.741)
Br (0.411, 0.117, 0.260)
Br (0.589, 0.883, 0.740)
Br (0.747, 0.747, 0.259)
Br (0.883, 0.589, 0.740)

Computed properties:
M_tot = 0.00 μB per cell

---

Which structure is most stable? model ii, by 13 meV per atom over the runner-up.

---

Model i:
## Rb2LiDyBr6 (PBE-GGA)

Data for a geometry-optimized Rb2LiDyBr6 structure.

abc: 7.776 7.873 13.497
angles: 90.00 125.07 90.00
Atoms (fractional coordinates):
Rb (0.239, 0.041, 0.249)
Rb (0.239, 0.459, 0.749)
Rb (0.761, 0.541, 0.251)
Rb (0.761, 0.959, 0.751)
Li (0.000, 0.000, 0.500)
Li (0.000, 0.500, 0.000)
Dy (0.500, 0.000, 0.000)
Dy (0.500, 0.500, 0.500)
Br (0.185, 0.214, 0.972)
Br (0.185, 0.286, 0.472)
Br (0.260, 0.714, 0.973)
Br (0.260, 0.786, 0.473)
Br (0.303, 0.006, 0.749)
Br (0.303, 0.494, 0.249)
Br (0.697, 0.506, 0.751)
Br (0.697, 0.994, 0.251)
Br (0.740, 0.214, 0.527)
Br (0.740, 0.286, 0.027)
Br (0.815, 0.714, 0.528)
Br (0.815, 0.786, 0.028)

Computed properties:
M_tot = 0.00 μB per cell

---

Model ii:
## Rb2LiDyBr6 (PBE-GGA)

Data for a geometry-optimized Rb2LiDyBr6 structure.

abc: 7.842 7.842 7.842
angles: 60.00 60.00 60.00
Atoms (fractional coordinates):
Rb (0.250, 0.250, 0.250)
Rb (0.750, 0.750, 0.750)
Li (0.000, 0.000, 0.000)
Dy (0.500, 0.500, 0.500)
Br (0.248, 0.248, 0.752)
Br (0.248, 0.752, 0.248)
Br (0.248, 0.752, 0.752)
Br (0.752, 0.248, 0.248)
Br (0.752, 0.248, 0.752)
Br (0.752, 0.752, 0.248)

Computed properties:
M_tot = 0.00 μB per cell

---

Which structure is most stable? model i, by 7 meV per atom over the runner-up.

---

Model i:
## NaDyBr4 (PBE-GGA)

Data for a geometry-optimized NaDyBr4 structure.

abc: 6.989 4.195 7.561
angles: 90.00 92.32 90.00
Atoms (fractional coordinates):
Na (0.000, 0.000, 0.000)
Dy (0.000, 0.500, 0.500)
Br (0.214, 0.500, 0.200)
Br (0.231, 0.000, 0.651)
Br (0.769, 0.000, 0.349)
Br (0.786, 0.500, 0.800)

Computed properties:
M_tot = 0.00 μB per cell

---

Model ii:
## NaDyBr4 (PBE-GGA)

Data for a geometry-optimized NaDyBr4 structure.

abc: 9.781 9.781 7.114
angles: 104.92 104.92 127.13
Atoms (fractional coordinates):
Na (0.090, 0.910, 0.750)
Na (0.910, 0.090, 0.250)
Dy (0.421, 0.579, 0.250)
Dy (0.579, 0.421, 0.750)
Br (0.089, 0.450, 0.247)
Br (0.226, 0.314, 0.769)
Br (0.314, 0.226, 0.269)
Br (0.450, 0.089, 0.747)
Br (0.550, 0.911, 0.253)
Br (0.686, 0.774, 0.731)
Br (0.774, 0.686, 0.231)
Br (0.911, 0.550, 0.753)

Computed properties:
M_tot = 0.00 μB per cell

---

Which structure is most stable? model i, by 27 meV per atom over the runner-up.